Entry 1:
DFT (PBE) results for crystalline HfMgCuAs2 at its relaxed geometry.

The final energy comes out at -19.619 eV per cell. The spin magnetization is 0.00 μB/atom. Its calculated volume is 118.2 Å³/cell.

The space group is P4/mmm (No. 123) and the conventional cell measures 4.730, 4.730 and 5.285 Å, with angles of 90.00, 90.00 and 90.00 degrees. Symmetry generates all atoms from Hf at (0.000, 0.000, 0.000), Mg at (0.000, 0.000, 0.500), Cu at (0.500, 0.500, 0.000) and As at (0.000, 0.500, 0.500).

---

Entry 2:
DFT (PBE) results for crystalline IrPdRu2 at its relaxed geometry.

The final energy comes out at -119.310 eV per cell. The energy above the most stable polymorph in this dataset comes out at 602 meV per atom. The spin magnetization is 0.00 μB/atom. Its calculated volume is 262.8 Å³/cell.

The space group is I-42d (No. 122) and the conventional cell measures 7.041, 7.041 and 5.301 Å, with angles of 90.00, 90.00 and 90.00 degrees. Symmetry generates all atoms from Ir at (0.000, 0.000, 0.000), Pd at (0.000, 0.000, 0.500) and Ru at (0.212, 0.250, 0.125).